NiAs2Cl | PBE | relaxed

abc: 2.652 3.432 8.345
angles: 90.00 90.00 90.00
Space group Pmmm (No. 47)
Symmetry-distinct sites (fractional):
Ni  0.000  0.000  0.000
As  0.500  0.500  0.166
Cl  0.000  0.000  0.500

As for the relative energy among the computed polymorphs: 209 meV/atom. The formation energy from raw total energies comes out at -0.2 eV/f.u. The value obtained for the magnetization is 0.00 μB per cell.



NiAs2Cl | PBE | relaxed

abc: 6.419 6.419 6.419
angles: 90.00 90.00 90.00
Space group Fm-3m (No. 225)
Symmetry-distinct sites (fractional):
Ni  0.000  0.000  0.000
As  0.250  0.250  0.250
Cl  0.000  0.000  0.500

As for the relative energy among the computed polymorphs: 748 meV/atom. The formation energy from raw total energies comes out at 2.0 eV/f.u. The value obtained for the magnetization is 0.00 μB per cell.